A.
{
  "formula": "KLi3Ca",
  "functional": "GGA-PBE",
  "state": "optimized geometry",
  "volume_a3_per_atom": 35.54,
  "crystal_system": "cubic",
  "lattice": [[5.622, 0.000, 0.000], [0.000, 5.622, 0.000], [0.000, 0.000, 5.622]],
  "species": ["K", "Li", "Li", "Li", "Ca"],
  "frac_coords": [[0.000, 0.000, 0.000], [0.000, 0.000, 0.500], [0.000, 0.500, 0.000], [0.500, 0.000, 0.000], [0.500, 0.500, 0.500]]
}

---

B.
{
  "formula": "KLi3Ca",
  "functional": "GGA-PBE",
  "state": "optimized geometry",
  "volume_a3_per_atom": 46.34,
  "crystal_system": "cubic",
  "lattice": [[6.142, 0.000, 0.000], [0.000, 6.142, 0.000], [0.000, 0.000, 6.142]],
  "species": ["K", "Li", "Li", "Li", "Ca"],
  "frac_coords": [[0.000, 0.000, 0.000], [0.000, 0.500, 0.500], [0.500, 0.000, 0.500], [0.500, 0.500, 0.000], [0.500, 0.500, 0.500]]
}

---

It turns out B is the most stable, with the second structure 1.2 kJ/mol of atoms higher.

---

A.
{
  "formula": "KCaMg2",
  "functional": "GGA-PBE",
  "state": "optimized geometry",
  "volume_a3_per_atom": 33.54,
  "crystal_system": "cubic",
  "lattice": [[0.000, 4.063, 4.063], [4.063, 0.000, 4.063], [4.063, 4.063, 0.000]],
  "species": ["K", "Ca", "Mg", "Mg"],
  "frac_coords": [[0.000, 0.000, 0.000], [0.750, 0.750, 0.750], [0.250, 0.250, 0.250], [0.500, 0.500, 0.500]]
}

---

B.
{
  "formula": "KCaMg2",
  "functional": "GGA-PBE",
  "state": "optimized geometry",
  "volume_a3_per_atom": 35.87,
  "crystal_system": "cubic",
  "lattice": [[0.000, 4.155, 4.155], [4.155, 0.000, 4.155], [4.155, 4.155, 0.000]],
  "species": ["K", "Ca", "Mg", "Mg"],
  "frac_coords": [[0.000, 0.000, 0.000], [0.500, 0.500, 0.500], [0.250, 0.250, 0.250], [0.750, 0.750, 0.750]]
}

---

C.
{
  "formula": "KCaMg2",
  "functional": "GGA-PBE",
  "state": "optimized geometry",
  "volume_a3_per_atom": 36.50,
  "crystal_system": "tetragonal",
  "lattice": [[3.782, 0.000, 0.000], [0.000, 3.782, 0.000], [0.000, 0.000, 10.206]],
  "species": ["K", "Ca", "Mg", "Mg"],
  "frac_coords": [[0.000, 0.000, 0.000], [0.500, 0.500, 0.649], [0.000, 0.000, 0.436], [0.500, 0.500, 0.279]]
}

---

It turns out C is the most stable, with the second structure 7.6 kJ/mol of atoms higher.

---

A.
{
  "formula": "K2CaMg2",
  "functional": "GGA-PBE",
  "state": "optimized geometry",
  "volume_a3_per_atom": 42.70,
  "crystal_system": "tetragonal",
  "lattice": [[-2.504, 2.504, 8.510], [2.504, -2.504, 8.510], [2.504, 2.504, -8.510]],
  "species": ["K", "K", "Ca", "Mg", "Mg"],
  "frac_coords": [[0.250, 0.750, 0.500], [0.750, 0.250, 0.500], [0.000, 0.000, 0.000], [0.416, 0.416, 0.000], [0.584, 0.584, 0.000]]
}

---

B.
{
  "formula": "K2CaMg2",
  "functional": "GGA-PBE",
  "state": "optimized geometry",
  "volume_a3_per_atom": 41.38,
  "crystal_system": "tetragonal",
  "lattice": [[10.400, 0.000, 0.000], [0.000, 10.400, 0.000], [0.000, 0.000, 3.826]],
  "species": ["K", "K", "K", "K", "Ca", "Ca", "Mg", "Mg", "Mg", "Mg"],
  "frac_coords": [[0.124, 0.376, 0.000], [0.376, 0.876, 0.000], [0.624, 0.124, 0.000], [0.876, 0.624, 0.000], [0.000, 0.000, 0.000], [0.500, 0.500, 0.000], [0.179, 0.679, 0.500], [0.321, 0.179, 0.500], [0.679, 0.821, 0.500], [0.821, 0.321, 0.500]]
}

---

C.
{
  "formula": "K2CaMg2",
  "functional": "GGA-PBE",
  "state": "optimized geometry",
  "volume_a3_per_atom": 46.39,
  "crystal_system": "tetragonal",
  "lattice": [[-2.093, 2.093, 13.239], [2.093, -2.093, 13.239], [2.093, 2.093, -13.239]],
  "species": ["K", "K", "Ca", "Mg", "Mg"],
  "frac_coords": [[0.124, 0.124, 0.000], [0.876, 0.876, 0.000], [0.500, 0.500, 0.000], [0.250, 0.750, 0.500], [0.750, 0.250, 0.500]]
}

---

It turns out C is the most stable, with the second structure 2.2 kJ/mol of atoms higher.

---

A.
{
  "formula": "K3CaMn",
  "functional": "GGA-PBE",
  "state": "optimized geometry",
  "volume_a3_per_atom": 60.06,
  "crystal_system": "cubic",
  "lattice": [[6.697, 0.000, 0.000], [0.000, 6.697, 0.000], [0.000, 0.000, 6.697]],
  "species": ["K", "K", "K", "Ca", "Mn"],
  "frac_coords": [[0.000, 0.000, 0.500], [0.000, 0.500, 0.000], [0.500, 0.000, 0.000], [0.500, 0.500, 0.500], [0.000, 0.000, 0.000]]
}

---

B.
{
  "formula": "K3CaMn",
  "functional": "GGA-PBE",
  "state": "optimized geometry",
  "volume_a3_per_atom": 83.79,
  "crystal_system": "cubic",
  "lattice": [[7.483, 0.000, 0.000], [0.000, 7.483, 0.000], [0.000, 0.000, 7.483]],
  "species": ["K", "K", "K", "Ca", "Mn"],
  "frac_coords": [[0.000, 0.000, 0.500], [0.000, 0.500, 0.000], [0.500, 0.000, 0.000], [0.000, 0.000, 0.000], [0.500, 0.500, 0.500]]
}

---

It turns out A is the most stable, with the second structure 28.0 kJ/mol of atoms higher.

---

A.
{
  "formula": "KCaMo2",
  "functional": "GGA-PBE",
  "state": "optimized geometry",
  "volume_a3_per_atom": 21.94,
  "crystal_system": "trigonal",
  "lattice": [[1.479, 0.854, 11.580], [-1.479, 0.854, 11.580], [0.000, -1.708, 11.580]],
  "species": ["K", "Ca", "Mo", "Mo"],
  "frac_coords": [[0.000, 0.000, 0.000], [0.500, 0.500, 0.500], [0.244, 0.244, 0.244], [0.756, 0.756, 0.756]]
}

---

B.
{
  "formula": "KCaMo2",
  "functional": "GGA-PBE",
  "state": "optimized geometry",
  "volume_a3_per_atom": 28.06,
  "crystal_system": "tetragonal",
  "lattice": [[5.549, 0.000, 0.000], [0.000, 5.549, 0.000], [0.000, 0.000, 3.646]],
  "species": ["K", "Ca", "Mo", "Mo"],
  "frac_coords": [[0.000, 0.000, 0.000], [0.500, 0.500, 0.000], [0.000, 0.500, 0.500], [0.500, 0.000, 0.500]]
}

---

It turns out A is the most stable, with the second structure 63.5 kJ/mol of atoms higher.

---

A.
{
  "formula": "K3CaN",
  "functional": "GGA-PBE",
  "state": "optimized geometry",
  "volume_a3_per_atom": 40.10,
  "crystal_system": "cubic",
  "lattice": [[5.853, 0.000, 0.000], [0.000, 5.853, 0.000], [0.000, 0.000, 5.853]],
  "species": ["K", "K", "K", "Ca", "N"],
  "frac_coords": [[0.000, 0.000, 0.500], [0.000, 0.500, 0.000], [0.500, 0.000, 0.000], [0.500, 0.500, 0.500], [0.000, 0.000, 0.000]]
}

---

B.
{
  "formula": "K3CaN",
  "functional": "GGA-PBE",
  "state": "optimized geometry",
  "volume_a3_per_atom": 79.22,
  "crystal_system": "cubic",
  "lattice": [[7.344, 0.000, 0.000], [0.000, 7.344, 0.000], [0.000, 0.000, 7.344]],
  "species": ["K", "K", "K", "Ca", "N"],
  "frac_coords": [[0.000, 0.000, 0.500], [0.000, 0.500, 0.000], [0.500, 0.000, 0.000], [0.000, 0.000, 0.000], [0.500, 0.500, 0.500]]
}

---

It turns out A is the most stable, with the second structure 99.8 kJ/mol of atoms higher.

---

A.
{
  "formula": "KCaS2N",
  "functional": "GGA-PBE",
  "state": "optimized geometry",
  "volume_a3_per_atom": 28.89,
  "crystal_system": "tetragonal",
  "lattice": [[5.515, 0.000, 0.000], [0.000, 5.515, 0.000], [0.000, 0.000, 4.748]],
  "species": ["K", "Ca", "S", "S", "N"],
  "frac_coords": [[0.000, 0.000, 0.000], [0.500, 0.500, 0.500], [0.000, 0.500, 0.000], [0.500, 0.000, 0.000], [0.000, 0.000, 0.500]]
}

---

B.
{
  "formula": "KCaS2N",
  "functional": "GGA-PBE",
  "state": "optimized geometry",
  "volume_a3_per_atom": 28.66,
  "crystal_system": "tetragonal",
  "lattice": [[5.434, 0.000, 0.000], [0.000, 5.434, 0.000], [0.000, 0.000, 4.852]],
  "species": ["K", "Ca", "S", "S", "N"],
  "frac_coords": [[0.000, 0.000, 0.000], [0.500, 0.500, 0.500], [0.000, 0.500, 0.500], [0.500, 0.000, 0.500], [0.500, 0.500, 0.000]]
}

---

It turns out B is the most stable, with the second structure 61.8 kJ/mol of atoms higher.

---

A.
{
  "formula": "KCaSe2N",
  "functional": "GGA-PBE",
  "state": "optimized geometry",
  "volume_a3_per_atom": 31.55,
  "crystal_system": "tetragonal",
  "lattice": [[5.729, 0.000, 0.000], [0.000, 5.729, 0.000], [0.000, 0.000, 4.806]],
  "species": ["K", "Ca", "Se", "Se", "N"],
  "frac_coords": [[0.000, 0.000, 0.000], [0.500, 0.500, 0.500], [0.000, 0.500, 0.000], [0.500, 0.000, 0.000], [0.000, 0.000, 0.500]]
}

---

B.
{
  "formula": "KCaSe2N",
  "functional": "GGA-PBE",
  "state": "optimized geometry",
  "volume_a3_per_atom": 31.02,
  "crystal_system": "tetragonal",
  "lattice": [[5.662, 0.000, 0.000], [0.000, 5.662, 0.000], [0.000, 0.000, 4.839]],
  "species": ["K", "Ca", "Se", "Se", "N"],
  "frac_coords": [[0.000, 0.000, 0.000], [0.500, 0.500, 0.500], [0.000, 0.500, 0.500], [0.500, 0.000, 0.500], [0.500, 0.500, 0.000]]
}

---

It turns out B is the most stable, with the second structure 58.5 kJ/mol of atoms higher.